1.
CaPaGaHg: relaxed, PBE.

Unit cell a=7.3753 b=7.3753 c=7.3753 alpha=90.00 beta=90.00 gamma=90.00
Last column: nearest neighbours and their distance in Å.
Space group F-43m (No. 216)
Symmetry-distinct sites (fractional):
Ca 0.0000 0.0000 0.0000 [4 per cell]  4 Hg 3.19, 4 Ga 3.19
Pa 0.0000 0.0000 0.5000 [4 per cell]  4 Hg 3.19, 4 Ga 3.19
Ga 0.2500 0.2500 0.7500 [4 per cell]  4 Pa 3.19, 4 Ca 3.19
Hg 0.2500 0.2500 0.2500 [4 per cell]  4 Pa 3.19, 4 Ca 3.19

Values from the calculation:
Volume, Å³/cell: 401.17
DFT total energy, eV/cell: -61.07
Energy relative to the elements, eV per atom: -0.110
Density, Mg/m³: 8.96

=====

2.
CaGaHgPb: relaxed, PBE.

Unit cell a=7.5026 b=7.5026 c=7.5026 alpha=90.00 beta=90.00 gamma=90.00
Last column: nearest neighbours and their distance in Å.
Space group F-43m (No. 216)
Symmetry-distinct sites (fractional):
Ca 0.0000 0.0000 0.0000 [4 per cell]  4 Hg 3.25, 4 Ga 3.25
Ga 0.2500 0.2500 0.7500 [4 per cell]  4 Pb 3.25, 4 Ca 3.25
Hg 0.2500 0.2500 0.2500 [4 per cell]  4 Pb 3.25, 4 Ca 3.25
Pb 0.0000 0.0000 0.5000 [4 per cell]  4 Hg 3.25, 4 Ga 3.25

Values from the calculation:
Volume, Å³/cell: 422.31
DFT total energy, eV/cell: -40.04
Energy relative to the elements, eV per atom: -0.243
Density, Mg/m³: 8.14

=====

3.
CaGaHgPd: relaxed, PBE.

Unit cell a=6.9036 b=6.9036 c=6.9036 alpha=90.00 beta=90.00 gamma=90.00
Last column: nearest neighbours and their distance in Å.
Space group F-43m (No. 216)
Symmetry-distinct sites (fractional):
Ca 0.0000 0.0000 0.0000 [4 per cell]  4 Hg 2.99, 4 Pd 2.99
Ga 0.0000 0.0000 0.5000 [4 per cell]  4 Pd 2.99, 4 Hg 2.99
Hg 0.2500 0.2500 0.2500 [4 per cell]  4 Ca 2.99, 4 Ga 2.99
Pd 0.2500 0.2500 0.7500 [4 per cell]  4 Ca 2.99, 4 Ga 2.99

Values from the calculation:
Volume, Å³/cell: 329.02
DFT total energy, eV/cell: -48.75
Energy relative to the elements, eV per atom: -0.416
Density, Mg/m³: 8.41

=====

4.
Ca2Ga2HgPd5: relaxed, PBE.

Unit cell a=9.9769 b=9.9769 c=3.7263 alpha=90.00 beta=90.00 gamma=90.00
Last column: nearest neighbours and their distance in Å.
Space group P4/mbm (No. 127)
Symmetry-distinct sites (fractional):
Ca 0.1764 0.3236 0.0000 [4 per cell]  3 Ga 2.86-3.02, 6 Pd 3.11-3.18
Ga 0.1213 0.6213 0.0000 [4 per cell]  6 Pd 2.53-2.57
Hg 0.0000 0.0000 0.0000 [2 per cell]  8 Pd 2.88
Pd 0.0000 0.5000 0.5000 [2 per cell]  4 Ga 2.53
Pd 0.0674 0.7902 0.5000 [8 per cell]  2 Ga 2.57

Values from the calculation:
Volume, Å³/cell: 370.91
DFT total energy, eV/cell: -85.86
Energy relative to the elements, eV per atom: -0.661
Density, Mg/m³: 8.53